# Sb3TeI, optimized geometry, DFT PBE
data_Sb3TeI
_cell_length_a 5.778
_cell_length_b 5.778
_cell_length_c 5.778
_cell_angle_alpha 90.00
_cell_angle_beta 90.00
_cell_angle_gamma 90.00
_space_group_name_H-M_alt 'P m -3 m'
_space_group_IT_number 221
_space_group_name_Hall '-P 4 2 3'
loop_
_atom_site_label
_atom_site_type_symbol
_atom_site_fract_x
_atom_site_fract_y
_atom_site_fract_z
Sb1 Sb 0.000 0.000 0.500
Te1 Te 0.000 0.000 0.000
I1 I 0.500 0.500 0.500
# Calculated density ... 5.34 g/cm³
# Raw formation energy ... 0.77 eV/atom
# Excess energy over the best structure of this formula in the dataset ... 0.0000 eV/atom
# Electronic total energy ... -2.6396 eV/atom
# Magnetic moment ... 0.00 Bohr magnetons per cell

# SmHgPt2, optimized geometry, DFT PBE
data_SmHgPt2
_cell_length_a 4.7234
_cell_length_b 4.7234
_cell_length_c 13.1494
_cell_angle_alpha 90.00
_cell_angle_beta 90.00
_cell_angle_gamma 120.00
_space_group_name_H-M_alt 'R -3 m'
_space_group_IT_number 166
_space_group_name_Hall '-R 3 2"'
loop_
_atom_site_label
_atom_site_type_symbol
_atom_site_fract_x
_atom_site_fract_y
_atom_site_fract_z
Sm1 Sm 0.0000 0.0000 0.0000
Hg1 Hg 0.0000 0.0000 0.5000
Pt1 Pt 0.0000 0.0000 0.2233
# Calculated density ... 14.53 g/cm³
# Energy relative to the elements ... -2.7 eV/f.u.
# Excess energy over the best structure of this formula in the dataset ... 0.0000 eV/atom
# Electronic total energy ... -4.9486 eV/atom
# Magnetic moment ... 0.00 Bohr magnetons per cell

# TcNiHg2, optimized geometry, DFT PBE
data_TcNiHg2
_cell_length_a 3.955
_cell_length_b 3.955
_cell_length_c 19.572
_cell_angle_alpha 90.00
_cell_angle_beta 90.00
_cell_angle_gamma 90.00
_space_group_name_H-M_alt 'I -4 2 d'
_space_group_IT_number 122
_space_group_name_Hall 'I -4 2bw'
loop_
_atom_site_label
_atom_site_type_symbol
_atom_site_fract_x
_atom_site_fract_y
_atom_site_fract_z
Tc1 Tc 0.000 0.000 0.000
Ni1 Ni 0.000 0.000 0.500
Hg1 Hg 0.245 0.250 0.625
# Calculated density ... 12.10 g/cm³
# Energy relative to the elements ... 3.5 eV/f.u.
# Excess energy over the best structure of this formula in the dataset ... 0.5464 eV/atom
# Electronic total energy ... -3.3135 eV/atom
# Magnetic moment ... 11.28 Bohr magnetons per cell

# YPd2I, optimized geometry, DFT PBE
data_YPd2I
_cell_length_a 7.030
_cell_length_b 7.030
_cell_length_c 7.030
_cell_angle_alpha 90.00
_cell_angle_beta 90.00
_cell_angle_gamma 90.00
_space_group_name_H-M_alt 'F m -3 m'
_space_group_IT_number 225
_space_group_name_Hall '-F 4 2 3'
loop_
_atom_site_label
_atom_site_type_symbol
_atom_site_fract_x
_atom_site_fract_y
_atom_site_fract_z
Y1 Y 0.000 0.000 0.000
Pd1 Pd 0.250 0.250 0.250
I1 I 0.000 0.000 0.500
# Calculated density ... 8.19 g/cm³
# Raw formation energy ... -0.35 eV/atom
# Excess energy over the best structure of this formula in the dataset ... 0.0000 eV/atom
# Electronic total energy ... -4.9468 eV/atom
# Magnetic moment ... 0.00 Bohr magnetons per cell